The following is a GGA-PBE calculation of a geometry-optimized DyTh2Ge3Ir4 structure, from Alexandria via LeMat-Bulk.

Cell lengths 4.164, 4.164, 11.508 Å; angles 90.00, 90.00, 90.00 degrees
Space group P-4m2 (No. 115)
Symmetry-distinct sites (fractional):
Dy 0.000 0.000 0.000
Th 0.000 0.500 0.730
Ge 0.000 0.500 0.379
Ge 0.500 0.500 0.000
Ir 0.000 0.000 0.500
Ir 0.000 0.500 0.166
Ir 0.500 0.500 0.500

## Properties
E   -76.93 eV for the cell shown